Record 1
Density functional theory data (GGA-PBE) for a relaxed structure of Li2TaHg.

```
data_Li2TaHg
_symmetry_space_group_name_H-M 'P 1 2/m 1'
_symmetry_Int_Tables_number 10
_symmetry_space_group_name_Hall '-P 2y'
_cell_length_a 2.8021
_cell_length_b 4.7703
_cell_length_c 5.3361
_cell_angle_alpha 90.00
_cell_angle_beta 92.62
_cell_angle_gamma 90.00
loop_
_atom_site_label
_atom_site_fract_x
_atom_site_fract_y
_atom_site_fract_z
Li1 0.1224 0.0000 0.2398
Ta1 0.5000 0.5000 0.0000
Hg1 0.0000 0.5000 0.5000
```

## Properties
The total magnetic moment is 0.00 μB/atom. The calculation puts the formation energy at 265 meV per atom.


Record 2
Density functional theory data (GGA-PBE) for a relaxed structure of LaAgC3.

```
data_LaAgC3
_symmetry_space_group_name_H-M 'P m -3 m'
_symmetry_Int_Tables_number 221
_symmetry_space_group_name_Hall '-P 4 2 3'
_cell_length_a 4.5578
_cell_length_b 4.5578
_cell_length_c 4.5578
_cell_angle_alpha 90.00
_cell_angle_beta 90.00
_cell_angle_gamma 90.00
loop_
_atom_site_label
_atom_site_fract_x
_atom_site_fract_y
_atom_site_fract_z
La1 0.0000 0.0000 0.0000
Ag1 0.5000 0.5000 0.5000
C1 0.0000 0.0000 0.5000
```

## Properties
The value obtained for the relative energy among the computed polymorphs is 840 meV per atom. The total magnetic moment is 0.13 μB/atom. The calculation puts the formation energy at 2888 meV per atom.


Record 3
Density functional theory data (GGA-PBE) for a relaxed structure of CdNiAs4.

```
data_CdNiAs4
_symmetry_space_group_name_H-M 'F -4 3 m'
_symmetry_Int_Tables_number 216
_symmetry_space_group_name_Hall 'F -4 2 3'
_cell_length_a 7.8150
_cell_length_b 7.8150
_cell_length_c 7.8150
_cell_angle_alpha 90.00
_cell_angle_beta 90.00
_cell_angle_gamma 90.00
loop_
_atom_site_label
_atom_site_fract_x
_atom_site_fract_y
_atom_site_fract_z
Cd1 0.0000 0.0000 0.0000
Ni1 0.2500 0.2500 0.7500
As1 0.1244 0.1244 0.3756
```

## Properties
The total magnetic moment is 0.10 μB/atom. The calculation puts the formation energy at 575 meV per atom.


Total energy per entry: -3.73, -4.20, -3.64 eV per atom